Compound: In2SnTe
Source: the Alexandria database
Functional: PBE-GGA
Structure: optimized geometry

a b c (Å): 4.0998 4.0998 6.8563
angles (deg): 90.00 90.00 90.00
Last column: nearest neighbours and their distance in Å.
Positions (direct):
In: 0.0000 0.0000 0.2488  4 Sn 3.36, 4 Te 3.37, 2 In 3.41-3.44
In: 0.0000 0.0000 0.7512  4 Sn 3.36, 4 Te 3.37, 2 In 3.41-3.44
Sn: 0.5000 0.5000 0.0000  8 In 3.36, 2 Te 3.43
Te: 0.5000 0.5000 0.5000  8 In 3.37, 2 Sn 3.43

**Fermi-level density of states**: 0.415 states/eV/atom
**Size of the total moment**: 0.00 μB/cell
**Energy above the lowest structure with this stoichiometry**: 107 meV per atom
**Raw formation energy**: -32 meV per atom
**Calculated density**: 6.86 g cm⁻³